1.
Ca2CuOs: relaxed, PBEsol.

It has space group Pmm2 (No. 25), with a = 2.785 Å, b = 4.783 Å, c = 5.842 Å, α = 90.00°, β = 90.00° and γ = 90.00°. Symmetry generates all atoms from Ca at (0.000, 0.000, 0.000), Ca at (0.500, 0.500, 0.354), Cu at (0.000, 0.000, 0.534) and Os at (0.500, 0.500, 0.833).

For the density of states at the Fermi level, the calculation gives 0.687 states/eV/atom. Its calculated formation energy is 0.583 eV/atom. The crystal system is orthorhombic.

=====

2.
Pr3Cu: relaxed, PBEsol.

It has space group I4/mmm (No. 139), with a = 4.647 Å, b = 4.647 Å, c = 9.927 Å, α = 90.00°, β = 90.00° and γ = 90.00°. Symmetry generates all atoms from Pr at (0.000, 0.000, 0.000), Pr at (0.000, 0.500, 0.250) and Cu at (0.000, 0.000, 0.500).

For the density of states at the Fermi level, the calculation gives 1.010 states/eV/atom. Its calculated formation energy is 0.154 eV/atom. The crystal system is tetragonal.